*i*
The following is a DFT calculation (PBE-GGA) of In2NiHgBi after structural relaxation.

Properties
Its symmetry is No. 123. As for the crystal system: tetragonal. The calculation puts the total magnetization at 0.00 Bohr magnetons per cell.

Unit cell a=5.005 b=5.005 c=5.098 alpha=90.00 beta=90.00 gamma=90.00
Fractional coordinates of all 5 atoms:
In (0.000, 0.500, 0.000)
In (0.500, 0.000, 0.000)
Ni (0.000, 0.000, 0.000)
Hg (0.000, 0.000, 0.500)
Bi (0.500, 0.500, 0.500)

=====

*ii*
The following is a DFT calculation (PBE-GGA) of In2NiHgBi after structural relaxation.

Properties
Its symmetry is No. 123. As for the crystal system: tetragonal. The calculation puts the total magnetization at 0.00 Bohr magnetons per cell.

Unit cell a=4.995 b=4.995 c=5.291 alpha=90.00 beta=90.00 gamma=90.00
Fractional coordinates of all 5 atoms:
In (0.000, 0.500, 0.000)
In (0.500, 0.000, 0.000)
Ni (0.000, 0.000, 0.000)
Hg (0.500, 0.500, 0.500)
Bi (0.000, 0.000, 0.500)

=====

Need the numbers? Relative energies in meV per atom: *i* 81; *ii* 0.

=====

*i*
The following is a DFT calculation (PBE-GGA) of NpInHgBi after structural relaxation.

Properties
Its symmetry is No. 47. As for the crystal system: orthorhombic. The calculation puts the total magnetization at 4.43 Bohr magnetons per cell.

Unit cell a=4.540 b=4.571 c=5.096 alpha=90.00 beta=90.00 gamma=90.00
Fractional coordinates of all 4 atoms:
Np (0.000, 0.000, 0.000)
In (0.000, 0.500, 0.500)
Hg (0.500, 0.000, 0.500)
Bi (0.500, 0.500, 0.000)

=====

*ii*
The following is a DFT calculation (PBE-GGA) of NpInHgBi after structural relaxation.

Properties
Its symmetry is No. 216. As for the crystal system: cubic. The calculation puts the total magnetization at 18.15 Bohr magnetons per cell.

Unit cell a=7.627 b=7.627 c=7.627 alpha=90.00 beta=90.00 gamma=90.00
Fractional coordinates of all 16 atoms:
Np (0.000, 0.000, 0.000)
Np (0.000, 0.500, 0.500)
Np (0.500, 0.000, 0.500)
Np (0.500, 0.500, 0.000)
In (0.000, 0.000, 0.500)
In (0.000, 0.500, 0.000)
In (0.500, 0.000, 0.000)
In (0.500, 0.500, 0.500)
Hg (0.250, 0.250, 0.750)
Hg (0.250, 0.750, 0.250)
Hg (0.750, 0.250, 0.250)
Hg (0.750, 0.750, 0.750)
Bi (0.250, 0.250, 0.250)
Bi (0.250, 0.750, 0.750)
Bi (0.750, 0.250, 0.750)
Bi (0.750, 0.750, 0.250)

=====

Need the numbers? Relative energies in meV per atom: *i* 0; *ii* 187.

=====

*i*
The following is a DFT calculation (PBE-GGA) of PrInHgBi after structural relaxation.

Properties
Its symmetry is No. 47. As for the crystal system: orthorhombic. The calculation puts the total magnetization at 0.00 Bohr magnetons per cell.

Unit cell a=4.678 b=4.812 c=4.973 alpha=90.00 beta=90.00 gamma=90.00
Fractional coordinates of all 4 atoms:
Pr (0.000, 0.000, 0.000)
In (0.000, 0.500, 0.500)
Hg (0.500, 0.000, 0.500)
Bi (0.500, 0.500, 0.000)

=====

*ii*
The following is a DFT calculation (PBE-GGA) of PrInHgBi after structural relaxation.

Properties
Its symmetry is No. 216. As for the crystal system: cubic. The calculation puts the total magnetization at 0.00 Bohr magnetons per cell.

Unit cell a=7.796 b=7.796 c=7.796 alpha=90.00 beta=90.00 gamma=90.00
Fractional coordinates of all 16 atoms:
Pr (0.000, 0.000, 0.000)
Pr (0.000, 0.500, 0.500)
Pr (0.500, 0.000, 0.500)
Pr (0.500, 0.500, 0.000)
In (0.000, 0.000, 0.500)
In (0.000, 0.500, 0.000)
In (0.500, 0.000, 0.000)
In (0.500, 0.500, 0.500)
Hg (0.250, 0.250, 0.750)
Hg (0.250, 0.750, 0.250)
Hg (0.750, 0.250, 0.250)
Hg (0.750, 0.750, 0.750)
Bi (0.250, 0.250, 0.250)
Bi (0.250, 0.750, 0.750)
Bi (0.750, 0.250, 0.750)
Bi (0.750, 0.750, 0.250)

=====

Need the numbers? Relative energies in meV per atom: *i* 0; *ii* 144.